A plane-wave DFT calculation with GGA+U was carried out for a relaxed structure of LaFeAsO.

Cell lengths 4.159, 4.159, 9.154 Å; angles 90.00, 90.00, 90.00 degrees
Space group P4/nmm (No. 129, origin choice 2)
Symmetry-distinct sites (fractional):
La: 0.250 0.250 0.130 x2
Fe: 0.250 0.750 0.500 x2
As: 0.250 0.250 0.673 x2
O: 0.250 0.750 0.000 x2

Values from the calculation:
calculated total energy = -6.71 eV/atom
density of states at the Fermi level = 0.164 states/eV/atom